No. 1
A plane-wave DFT calculation with PBE was carried out for NiHgBiPd after structural relaxation.

abc: 4.736 4.736 4.736
angles: 60.00 60.00 60.00
Fractional positions:
Ni1 0.750 0.750 0.750
Hg1 0.500 0.500 0.500
Bi1 0.000 0.000 0.000
Pd1 0.250 0.250 0.250

Properties
Total moment: 0.00 μB/f.u.
Energy above the lowest structure with this stoichiometry: 0 meV per atom
Raw total energy: -3.72 eV/atom
Symmetry: F-43m, No. 216


No. 2
A plane-wave DFT calculation with PBE was carried out for Ho2Sc2CI3Cl2 after structural relaxation.

abc: 9.882 9.882 8.059
angles: 101.13 101.13 22.22
Last column: magnetic moment on the atom in μB.
Fractional positions:
I1 0.158 0.158 0.338  0.00
I2 0.500 0.500 0.500  0.00
I3 0.842 0.842 0.662  0.00
Ho1 0.379 0.379 0.953  0.06
Ho2 0.621 0.621 0.047  0.06
C1 0.500 0.500 0.000  0.00
Sc1 0.999 0.999 0.815  0.05
Sc2 0.001 0.001 0.185  0.05
Cl1 0.859 0.859 0.177  0.00
Cl2 0.141 0.141 0.823  0.00

Properties
Total moment: 0.34 μB/f.u.
Energy above the lowest structure with this stoichiometry: 42 meV per atom
Raw total energy: -5.21 eV/atom
Symmetry: C2/m, No. 12


- The lowest raw total energy belongs to which entry?
  Ho2Sc2CI3Cl2